Compound: PbAuN
Source: Alexandria
Functional: PBE
Structure: relaxed

a = 4.1659 Å, b = 8.2573 Å, c = 11.9007 Å
α = 92.71°, β = 90.00°, γ = 90.00°
Atoms (fractional coordinates):
Pb 0.7498 0.3886 0.6219
Pb 0.2498 0.1114 0.3781
Pb 0.2502 0.6114 0.3781
Pb 0.7502 0.8886 0.6219
Au 0.7500 0.3611 0.3708
Au 0.2500 0.1389 0.6292
Au 0.2500 0.6389 0.6292
Au 0.7500 0.8611 0.3708
N 0.4169 0.0477 0.9857
N 0.9169 0.4523 0.0143
N 0.5831 0.9523 0.0143
N 0.0831 0.5477 0.9857

Total energy, eV/atom: -5.02